Model 1:
## Fe2Ni8Ge (GGA-PBE)

Data for crystalline Fe2Ni8Ge at its relaxed geometry.

Summary:
Mass density (g cm⁻³): 8.41
V (Å³/cell): 129.2
SG: Immm
Total moment (μB/cell): 8.44

a b c (Å): 6.8910 6.8910 6.8910
angles (deg): 146.06 134.54 57.93
With the nearest neighbours (Å) after each atom.
Positions (direct):
Fe 0.1882 0.1882 0.0000  12 Ni 2.41-2.67
Fe 0.8118 0.8118 0.0000  12 Ni 2.41-2.67
Ni 0.0840 0.3541 0.7300  1 Ge 2.27, 3 Fe 2.41-2.46, 4 Ni 2.45-2.50
Ni 0.2305 0.0000 0.2305  7 Ni 2.46-2.67, 2 Ge 2.47, 2 Fe 2.58
Ni 0.3246 0.8246 0.5000  8 Ni 2.48-2.56, 4 Fe 2.60-2.67
Ni 0.3759 0.6459 0.7300  1 Ge 2.27, 3 Fe 2.41-2.46, 4 Ni 2.45-2.50
Ni 0.6241 0.3541 0.2700  1 Ge 2.27, 3 Fe 2.41-2.46, 4 Ni 2.45-2.50
Ni 0.6754 0.1754 0.5000  8 Ni 2.48-2.56, 4 Fe 2.60-2.67
Ni 0.7695 0.0000 0.7695  7 Ni 2.46-2.67, 2 Ge 2.47, 2 Fe 2.58
Ni 0.9160 0.6459 0.2700  1 Ge 2.27, 3 Fe 2.41-2.46, 4 Ni 2.45-2.50
Ge 0.5000 0.5000 0.0000  8 Ni 2.27-2.47


Model 2:
## Fe2Ni8Ge (GGA-PBE)

Data for crystalline Fe2Ni8Ge at its relaxed geometry.

Summary:
Mass density (g cm⁻³): 8.76
V (Å³/cell): 123.9
SG: C2/m
Total moment (μB/cell): 8.97

a b c (Å): 6.6417 6.6417 5.6198
angles (deg): 104.65 104.65 31.21
With the nearest neighbours (Å) after each atom.
Positions (direct):
Fe 0.2253 0.2253 0.1442  10 Ni 2.46-2.54, 2 Fe 2.60
Fe 0.7747 0.7747 0.8558  10 Ni 2.46-2.54, 2 Fe 2.60
Ni 0.0450 0.0450 0.2248  1 Fe 2.46, 9 Ni 2.49-2.57, 2 Ge 2.53
Ni 0.1403 0.1403 0.6875  7 Ni 2.48-2.57, 3 Fe 2.49-2.51, 2 Ge 2.56
Ni 0.3183 0.3183 0.5905  8 Ni 2.48-2.52, 3 Fe 2.48, 1 Ge 2.51
Ni 0.4074 0.4074 0.0441  3 Fe 2.50-2.54, 8 Ni 2.50-2.55, 1 Ge 2.52
Ni 0.5926 0.5926 0.9559  3 Fe 2.50-2.54, 8 Ni 2.50-2.55, 1 Ge 2.52
Ni 0.6817 0.6817 0.4095  8 Ni 2.48-2.52, 3 Fe 2.48, 1 Ge 2.51
Ni 0.8597 0.8597 0.3125  7 Ni 2.48-2.57, 3 Fe 2.49-2.51, 2 Ge 2.56
Ni 0.9550 0.9550 0.7752  1 Fe 2.46, 9 Ni 2.49-2.57, 2 Ge 2.53
Ge 0.5000 0.5000 0.5000  12 Ni 2.51-2.56


Of them, model 2 has the highest stability.


Model 1:
## FeNi8Ge2 (GGA-PBE)

Data for crystalline FeNi8Ge2 at its relaxed geometry.

Summary:
Mass density (g cm⁻³): 8.55
V (Å³/cell): 130.3
SG: Immm
Total moment (μB/cell): 4.24

a b c (Å): 6.5959 6.5959 6.5959
angles (deg): 147.47 121.11 68.92
With the nearest neighbours (Å) after each atom.
Positions (direct):
Fe 0.0000 0.0000 0.0000  12 Ni 2.47-2.62
Ni 0.1084 0.8391 0.2693  3 Ge 2.39-2.44, 1 Fe 2.47, 5 Ni 2.54-2.55
Ni 0.1502 0.6502 0.5000  2 Fe 2.47, 8 Ni 2.47-2.54, 2 Ge 2.59
Ni 0.2860 0.5000 0.7860  2 Ge 2.42, 6 Ni 2.47-2.55, 2 Fe 2.62
Ni 0.4302 0.1609 0.2693  3 Ge 2.39-2.44, 1 Fe 2.47, 5 Ni 2.54-2.55
Ni 0.5698 0.8391 0.7307  3 Ge 2.39-2.44, 1 Fe 2.47, 5 Ni 2.54-2.55
Ni 0.7140 0.5000 0.2140  2 Ge 2.42, 6 Ni 2.47-2.55, 2 Fe 2.62
Ni 0.8498 0.3498 0.5000  2 Fe 2.47, 8 Ni 2.47-2.54, 2 Ge 2.59
Ni 0.8916 0.1609 0.7307  3 Ge 2.39-2.44, 1 Fe 2.47, 5 Ni 2.54-2.55
Ge 0.3173 0.3173 0.0000  10 Ni 2.39-2.59
Ge 0.6827 0.6827 0.0000  10 Ni 2.39-2.59


Model 2:
## FeNi8Ge2 (GGA-PBE)

Data for crystalline FeNi8Ge2 at its relaxed geometry.

Summary:
Mass density (g cm⁻³): 8.34
V (Å³/cell): 133.5
SG: C2/m
Total moment (μB/cell): 4.44

a b c (Å): 6.3401 6.3401 4.1437
angles (deg): 101.79 101.79 118.90
With the nearest neighbours (Å) after each atom.
Positions (direct):
Fe 0.0000 0.0000 0.0000  4 Ni 2.36
Ni 0.0927 0.3142 0.6182  2 Ge 2.33-2.47, 3 Ni 2.40-2.49
Ni 0.2160 0.7840 0.0000  2 Ge 2.30, 1 Fe 2.36
Ni 0.3142 0.0927 0.6182  2 Ge 2.33-2.47, 3 Ni 2.40-2.49
Ni 0.3974 0.3974 0.1874  1 Fe 2.36, 4 Ni 2.39-2.49, 2 Ge 2.41
Ni 0.6026 0.6026 0.8126  1 Fe 2.36, 4 Ni 2.39-2.49, 2 Ge 2.41
Ni 0.6858 0.9073 0.3818  2 Ge 2.33-2.47, 3 Ni 2.40-2.49
Ni 0.7840 0.2160 0.0000  2 Ge 2.30, 1 Fe 2.36
Ni 0.9073 0.6858 0.3818  2 Ge 2.33-2.47, 3 Ni 2.40-2.49
Ge 0.3079 0.6921 0.5000  8 Ni 2.30-2.47
Ge 0.6921 0.3079 0.5000  8 Ni 2.30-2.47


Of them, model 1 has the highest stability.